[1]
Computed, not measured: a geometry-optimized CsSi3Au3 structure at the GGA-PBE level of DFT. Values from VASP.

Quantum ESPRESSO input file:
```
&SYSTEM
  ibrav = 0, nat = 14, ntyp = 3
/
ATOMIC_SPECIES
Si 28.09 Si.upf
Au 196.97 Au.upf
Cs 132.91 Cs.upf
ATOMIC_POSITIONS crystal
Si 0.000 0.500 0.750
Si 0.250 0.000 0.500
Au 0.000 0.750 0.500
Au 0.500 0.000 0.750
Cs 0.500 0.500 0.500
Au 0.500 0.000 0.250
Si 0.500 0.750 0.000
Si 0.000 0.500 0.250
Si 0.500 0.250 0.000
Cs 0.000 0.000 0.000
Au 0.250 0.500 0.000
Au 0.000 0.250 0.500
Si 0.750 0.000 0.500
Au 0.750 0.500 0.000
CELL_PARAMETERS angstrom
7.041 0.000 0.000
0.000 7.041 0.000
0.000 0.000 7.041
```

Properties
SG: No. 223
Calculated density in Mg/m³: 7.7
Raw formation energy in meV/atom: 3

[2]
Computed, not measured: a geometry-optimized Ca3GeTe4 structure at the GGA-PBE level of DFT. Values from VASP.

Quantum ESPRESSO input file:
```
&SYSTEM
  ibrav = 0, nat = 16, ntyp = 3
/
ATOMIC_SPECIES
Ca 40.08 Ca.upf
Ge 72.64 Ge.upf
Te 127.60 Te.upf
ATOMIC_POSITIONS crystal
Ca 0.068 0.751 0.250
Ge 0.032 0.217 0.000
Te 0.586 0.252 0.000
Ge 0.532 0.783 0.500
Ca 0.568 0.249 0.250
Ca 0.568 0.249 0.750
Te 0.563 0.230 0.500
Te 0.063 0.770 0.000
Te 0.567 0.750 0.744
Ca 0.068 0.751 0.750
Te 0.067 0.250 0.756
Te 0.067 0.250 0.244
Te 0.086 0.748 0.500
Ca 0.565 0.755 0.000
Ca 0.065 0.245 0.500
Te 0.567 0.750 0.256
CELL_PARAMETERS angstrom
6.355 0.000 0.000
0.000 6.352 0.000
0.000 0.000 12.683
```

Properties
SG: No. 31
Calculated density in Mg/m³: 4.6
Raw formation energy in meV/atom: -1237

[3]
Computed, not measured: a geometry-optimized CrMo2Os structure at the GGA-PBE level of DFT. Values from VASP.

Quantum ESPRESSO input file:
```
&SYSTEM
  ibrav = 0, nat = 4, ntyp = 3
/
ATOMIC_SPECIES
Os 190.23 Os.upf
Mo 95.94 Mo.upf
Cr 52.00 Cr.upf
ATOMIC_POSITIONS crystal
Os 0.513 0.513 0.504
Mo 0.759 0.759 0.727
Mo 0.988 0.988 0.024
Cr 0.240 0.240 0.245
CELL_PARAMETERS angstrom
-0.171 -3.579 -3.203
-0.632 -4.711 -0.711
-4.604 -0.140 -0.916
```

Properties
SG: No. 8
Polymorph energy (0 for the lowest one) in meV per atom: 107
E_form in eV per atom: 0.22
Calculated density in Mg/m³: 12.3

[4]
Computed, not measured: a geometry-optimized AcYTlPt structure at the GGA-PBE level of DFT. Values from VASP.

Quantum ESPRESSO input file:
```
&SYSTEM
  ibrav = 0, nat = 4, ntyp = 4
/
ATOMIC_SPECIES
Tl 204.38 Tl.upf
Ac 227.00 Ac.upf
Y 88.91 Y.upf
Pt 195.08 Pt.upf
ATOMIC_POSITIONS crystal
Tl 0.250 0.250 0.250
Ac 0.000 0.000 0.000
Y 0.500 0.500 0.500
Pt 0.750 0.750 0.750
CELL_PARAMETERS angstrom
-2.639 -4.684 0.492
2.732 -4.656 -0.050
0.471 -2.902 4.528
```

Properties
SG: No. 216
E_form in eV per atom: -0.58
Calculated density in Mg/m³: 10.7